# KY2Ta | Alexandria | GGA-PBE | relaxed
# energy relative to the lowest polymorph listed for this composition = 443 meV per atom
# VASP energy = -22.946 eV/cell
# formation energy = 0.73 eV/atom
# DOS at the Fermi energy = 4.28 states/eV/f.u.
# spin magnetization = 0.00 μB per atom
data_KY2Ta
_chemical_formula_sum 'K1 Y2 Ta1'
_symmetry_space_group_name_H-M 'P 1'
_symmetry_Int_Tables_number 1
_cell_length_a 3.172
_cell_length_b 5.296
_cell_length_c 8.379
_cell_angle_alpha 90.00
_cell_angle_beta 98.63
_cell_angle_gamma 90.00
loop_
_symmetry_equiv_pos_as_xyz
'x,y,z'
loop_
_atom_site_label
_atom_site_type_symbol
_atom_site_fract_x
_atom_site_fract_y
_atom_site_fract_z
K1 K 0.727 0.000 0.888
Y1 Y 0.369 0.500 0.227
Y2 Y 0.452 0.000 0.454
Ta1 Ta 0.992 0.500 0.543